Material: BaLa3Ir
Method: DFT, GGA-PBE
State: relaxed

Geometry as POSCAR:
```
BaLa3Ir
1.0
4.398 0.000 0.000
0.000 4.398 0.000
0.000 0.000 10.411
Ir Ba La
1 1 3
Cartesian
2.199 2.199 8.597 Ir
0.000 0.000 2.932 Ba
0.000 0.000 9.450 La
2.199 0.000 6.499 La
0.000 2.199 6.499 La
```

## Properties
Formation enthalpy at 0 K: 0.2 eV/f.u.

***

Material: Zn2CuAu
Method: DFT, GGA-PBE
State: relaxed

Geometry as POSCAR:
```
Zn2CuAu
1.0
-2.665 -3.418 0.062
0.732 -3.269 2.751
-2.976 -0.359 3.779
Zn Cu Au
2 1 1
Cartesian
-2.505 -0.737 3.205 Zn
-1.097 -1.866 1.489 Zn
-2.628 -3.384 3.507 Cu
-4.110 -4.941 5.466 Au
```

## Properties
Formation enthalpy at 0 K: 0.0 eV/f.u.